# 1
This record from Alexandria describes a relaxed SmPaTc crystal. The functional is PBE.

Values from the calculation:
Relative energy among the computed polymorphs in meV/atom: 17
Crystal system: tetragonal

abc: 3.5035 3.5035 11.4261
angles: 90.00 90.00 90.00
Last column: nearest neighbours and their distance in Å.
Space group I4mm (No. 107)
Asymmetric unit:
Sm 0.0000 0.0000 0.0000 [2 per cell]  5 Tc 3.31-3.51, 5 Pa 3.37-3.43, 4 Sm 3.50
Pa 0.0000 0.0000 0.2999 [2 per cell]  4 Tc 2.76
Tc 0.0000 0.0000 0.6925 [2 per cell]  4 Pa 2.76

# 2
This record from Alexandria describes a relaxed Ac2ErCu9 crystal. The functional is PBE.

Values from the calculation:
Crystal system: trigonal

abc: 5.2248 5.2248 26.6615
angles: 90.00 90.00 120.00
Last column: nearest neighbours and their distance in Å.
Space group R-3m (No. 166, hexagonal axes)
Asymmetric unit:
Ac 0.0000 0.0000 0.1354 [6 per cell]  9 Cu 3.07-3.13
Er 0.0000 0.0000 0.0000 [3 per cell]  18 Cu 3.02-3.29
Cu 0.0000 0.0000 0.3324 [6 per cell]  6 Cu 2.50-2.52
Cu 0.0000 0.0000 0.5000 [3 per cell]  6 Cu 2.86, 6 Ac 3.13
Cu 0.0030 0.5015 0.0752 [18 per cell]  6 Cu 2.50-2.64

# 3
This record from Alexandria describes a relaxed La3Tb6Sm2Dy crystal. The functional is PBE.

Values from the calculation:
Crystal system: monoclinic

abc: 6.2753 10.8741 11.9362
angles: 90.00 100.10 90.00
Last column: nearest neighbours and their distance in Å.
Space group C2/m (No. 12)
Asymmetric unit:
La 0.0000 0.0000 0.0000 [2 per cell]  6 La 3.62, 6 Tb 3.65
La 0.0000 0.3332 0.0000 [4 per cell]  6 La 3.62-3.63, 6 Tb 3.64-3.65
Tb 0.2481 0.3336 0.7458 [8 per cell]  1 Dy 3.56, 2 Sm 3.57, 6 Tb 3.62-3.63, 3 La 3.64-3.65
Tb 0.2488 0.0000 0.7459 [4 per cell]  1 Dy 3.57, 2 Sm 3.57, 6 Tb 3.62-3.63, 3 La 3.65
Sm 0.0000 0.1665 0.5000 [4 per cell]  6 Tb 3.57, 3 Sm 3.62, 3 Dy 3.62-3.63
Dy 0.0000 0.5000 0.5000 [2 per cell]  6 Tb 3.56-3.57, 6 Sm 3.62-3.63

# 4
This record from Alexandria describes a relaxed CePm8Ho4 crystal. The functional is PBE.

Values from the calculation:
Crystal system: trigonal

abc: 7.3749 7.3749 27.3855
angles: 90.00 90.00 120.00
Last column: nearest neighbours and their distance in Å.
Space group R-3m (No. 166, hexagonal axes)
Asymmetric unit:
Ce 0.0000 0.0000 0.0000 [3 per cell]  6 Pm 2.89
Pm 0.0000 0.0000 0.2788 [6 per cell]  9 Pm 3.70-3.79, 3 Ho 3.74
Pm 0.0277 0.5139 0.2694 [18 per cell]  1 Ce 2.89
Ho 0.0000 0.0000 0.5000 [3 per cell]  6 Pm 3.43, 6 Ho 3.69
Ho 0.0000 0.5000 0.5000 [9 per cell]  6 Pm 3.59-3.74, 6 Ho 3.69

# 5
This record from Alexandria describes a relaxed V2NiHgAu crystal. The functional is PBE.

Values from the calculation:
Crystal system: tetragonal

abc: 4.8322 4.8322 4.6226
angles: 90.00 90.00 90.00
Last column: nearest neighbours and their distance in Å.
Space group P4/mmm (No. 123)
Asymmetric unit:
V 0.0000 0.5000 0.0000 [2 per cell]  2 Hg 2.42
Ni 0.0000 0.0000 0.5000 [1 per cell]  2 Hg 2.31
Hg 0.0000 0.0000 0.0000 [1 per cell]  2 Ni 2.31, 4 V 2.42
Au 0.5000 0.5000 0.5000 [1 per cell]  8 V 3.34, 4 Ni 3.42

# 6
This record from Alexandria describes a relaxed AgRh2 crystal. The functional is PBE.

Values from the calculation:
Relative energy among the computed polymorphs in meV/atom: 225
Crystal system: cubic

abc: 7.3224 7.3224 7.3224
angles: 90.00 90.00 90.00
Last column: nearest neighbours and their distance in Å.
Space group Fd-3m (No. 227, origin choice 2)
Asymmetric unit:
Ag 0.1250 0.1250 0.1250 [8 per cell]  12 Rh 3.04, 4 Ag 3.17
Rh 0.0000 0.0000 0.5000 [16 per cell]  6 Rh 2.59

Computed values of energy relative to the elements (unit: eV per formula unit) for the preceding records, in sequence: -0.33, -0.95, 0.20, 1.93, 8.58, 1.16.